{"formula": "LiCuCO3", "functional": "PBEsol", "state": "relaxed", "formation_energy_uncorrected_ev_per_atom": -1.300, "dos_ef_per_ev_cell": 0.00, "polymorph_energy_mev_per_atom": 56, "spacegroup": "P-6, No. 174", "m_tot_mub_per_fu": 0.0, "cell": [[8.191, 0.000, 0.000], [-4.095, 7.094, 0.000], [0.000, 0.000, 2.926]], "species": ["Li", "Li", "Li", "Cu", "Cu", "Cu", "C", "C", "C", "O", "O", "O", "O", "O", "O", "O", "O", "O"], "frac_coords": [[0.005, 0.370, 0.000], [0.365, 0.995, 0.000], [0.630, 0.635, 0.000], [0.000, 0.688, 0.500], [0.312, 0.312, 0.500], [0.688, 0.000, 0.500], [0.000, 0.000, 0.000], [0.333, 0.667, 0.500], [0.667, 0.333, 0.500], [0.184, 0.089, 0.000], [0.213, 0.487, 0.500], [0.275, 0.787, 0.500], [0.513, 0.725, 0.500], [0.560, 0.152, 0.500], [0.592, 0.440, 0.500], [0.848, 0.408, 0.500], [0.906, 0.816, 0.000], [0.911, 0.094, 0.000]]}